Computed, not measured: TlCuRe2F after structural relaxation at the PBE-GGA level of DFT.

Total moment in μB/cell: 6.68
Raw formation energy in eV per formula unit: 8.6
D(E_F) in states/eV per cell: 3.46
Space-group type: No. 123
Raw total energy in eV/atom: -4.9261

Geometry as POSCAR:
```
TlCuRe2F
1.0
4.6660 0.0000 0.0000
0.0000 5.3607 0.0000
0.0000 0.0000 4.6660
Re F Cu Tl
2 1 1 1
Cartesian
0.0000 0.0000 2.3330
2.3330 0.0000 0.0000
2.3330 2.6804 2.3330
0.0000 0.0000 0.0000
0.0000 2.6804 0.0000
```